Density functional theory data (GGA+U) for a relaxed RbAg2MoF6 crystal.

## Properties
**DFT total energy**: -4.506 eV per atom

Cell lengths 6.2901, 6.5013, 8.7793 Å; angles 90.00, 89.30, 90.00 degrees
Closest atoms and distances in Å follow each position.
Positions (direct):
Mo 0.5000 0.0000 0.5000  6 F 2.09-2.12
F 0.3824 0.8597 0.7020  1 Mo 2.12
F 0.6311 0.2498 0.6219  1 Mo 2.12, 1 Ag 2.37
Ag 0.0025 0.0236 0.7271  5 F 2.37-2.62
Rb 0.5000 0.0000 0.0000  4 F 2.68-2.88
F 0.1176 0.3597 0.7980  1 Mo 2.12
F 0.6176 0.1403 0.2980  1 Mo 2.12
F 0.2005 0.1368 0.4788  1 Mo 2.09
F 0.7005 0.3632 0.9788  1 Mo 2.09
F 0.8689 0.7498 0.8781  1 Mo 2.12, 1 Ag 2.37
Ag 0.5025 0.4764 0.2271  5 F 2.37-2.62
F 0.7995 0.8632 0.5212  1 Mo 2.09
Mo 0.0000 0.5000 0.0000  6 F 2.09-2.12
Rb 0.0000 0.5000 0.5000  4 F 2.68-2.88
F 0.1311 0.2502 0.1219  1 Mo 2.12, 1 Ag 2.37
F 0.2995 0.6368 0.0212  1 Mo 2.09
Ag 0.4975 0.5236 0.7729  5 F 2.37-2.62
F 0.3689 0.7502 0.3781  1 Mo 2.12, 1 Ag 2.37
Ag 0.9975 0.9764 0.2729  5 F 2.37-2.62
F 0.8824 0.6403 0.2020  1 Mo 2.12